Computed, not measured: crystalline RbNbAgP2 at its relaxed geometry at the GGA-PBE level of DFT.

The structure belongs to space group P4/mmm (No. 123); the cell edges are 5.419, 5.419 and 5.346 Å and the angles 90.00°, 90.00° and 90.00°. Symmetry generates all atoms from Rb at (0.000, 0.000, 0.000), Nb at (0.000, 0.000, 0.500), Ag at (0.500, 0.500, 0.500) and P at (0.000, 0.500, 0.000).

As for the energy: -12.53 eV per cell. The magnetization is 3.2 μB per formula unit. As for the energy of formation: 235.0 kJ/mol of atoms. The density of states at the Fermi level is 4.51 states/eV per cell.

---

Computed, not measured: crystalline Pu2Si2Au at its relaxed geometry at the GGA-PBE level of DFT.

The structure belongs to space group Immm (No. 71); the cell edges are 4.009, 5.606 and 9.147 Å and the angles 90.00°, 90.00° and 90.00°. Symmetry generates all atoms from Pu at (0.000, 0.000, 0.210), Si at (0.000, 0.281, 0.500) and Au at (0.000, 0.500, 0.000).

For the distance to the lowest polymorph of the same formula, the calculation gives 29 meV/atom. The formation energy without anion corrections comes out at -429 meV/atom. As for the energy: -89.87 eV per cell. The magnetization is 11.7 μB per formula unit. The density of states at the Fermi level is 31.31 states/eV per cell.

---

Computed, not measured: crystalline RbCrIN2 at its relaxed geometry at the GGA-PBE level of DFT.

The structure belongs to space group P4/mmm (No. 123); the cell edges are 4.132, 4.132 and 5.569 Å and the angles 90.00°, 90.00° and 90.00°. Symmetry generates all atoms from Rb at (0.000, 0.000, 0.000), Cr at (0.500, 0.500, 0.500), I at (0.500, 0.500, 0.000) and N at (0.000, 0.500, 0.500).

For the distance to the lowest polymorph of the same formula, the calculation gives 0 meV/atom. The formation energy without anion corrections comes out at 784 meV/atom. As for the energy: -24.87 eV per cell. The magnetization is 0.0 μB per formula unit. The density of states at the Fermi level is 5.89 states/eV per cell.

---

Repeat the second record exactly.
Computed, not measured: crystalline Pu2Si2Au at its relaxed geometry at the GGA-PBE level of DFT.

The structure belongs to space group Immm (No. 71); the cell edges are 4.009, 5.606 and 9.147 Å and the angles 90.00°, 90.00° and 90.00°. Symmetry generates all atoms from Pu at (0.000, 0.000, 0.210), Si at (0.000, 0.281, 0.500) and Au at (0.000, 0.500, 0.000).

For the distance to the lowest polymorph of the same formula, the calculation gives 29 meV/atom. The formation energy without anion corrections comes out at -429 meV/atom. As for the energy: -89.87 eV per cell. The magnetization is 11.7 μB per formula unit. The density of states at the Fermi level is 31.31 states/eV per cell.

---

What is the magnetization in the second record? 11.7 μB per formula unit

---

Number 1 is which compound? RbNbAgP2